# PBE NaTeAu2, optimized geometry
data_NaTeAu2
_cell_length_a 4.2882
_cell_length_b 4.2882
_cell_length_c 20.2137
_cell_angle_alpha 90.00
_cell_angle_beta 90.00
_cell_angle_gamma 90.00
_space_group_name_H-M_alt 'I -4 2 d'
_space_group_IT_number 122
_space_group_name_Hall 'I -4 2bw'
loop_
_atom_site_label
_atom_site_type_symbol
_atom_site_fract_x
_atom_site_fract_y
_atom_site_fract_z
Na1 Na 0.0000 0.0000 0.0000
Te1 Te 0.0000 0.0000 0.5000
Au1 Au 0.2364 0.2500 0.6250
# Formation energy without anion corrections = -0.127 eV per atom


# PBE MgBiPb3, optimized geometry
data_MgBiPb3
_cell_length_a 8.3002
_cell_length_b 6.6972
_cell_length_c 11.3354
_cell_angle_alpha 90.00
_cell_angle_beta 106.45
_cell_angle_gamma 90.00
_space_group_name_H-M_alt 'P 1 21/c 1'
_space_group_IT_number 14
loop_
_space_group_symop_operation_xyz
'x,y,z'
'-x,-y,-z'
'-x,y+1/2,-z+1/2'
'x,-y+1/2,z+1/2'
loop_
_atom_site_label
_atom_site_type_symbol
_atom_site_fract_x
_atom_site_fract_y
_atom_site_fract_z
Mg1 Mg 0.0664 0.1504 0.3818
Bi1 Bi 0.2648 0.0893 0.6600
Pb1 Pb 0.1111 0.6378 0.4132
Pb2 Pb 0.2884 0.5830 0.7283
Pb3 Pb 0.4621 0.2401 0.9593
# Relative energy among the computed polymorphs = 0 meV per atom
# E_form = 0.0000 eV/atom


Total energy for every record listed, in sequence, given in eV/atom: -2.88 -3.32.